(1)
# LiBeTeIr | OQMD | GGA-PBE | relaxed
data_LiBeTeIr
_chemical_formula_sum 'Li4 Be4 Te4 Ir4'
_space_group_name_H-M_alt 'F -4 3 m'
_space_group_IT_number 216
_space_group_name_Hall 'F -4 2 3'
_cell_length_a 6.178
_cell_length_b 6.178
_cell_length_c 6.178
_cell_angle_alpha 90.00
_cell_angle_beta 90.00
_cell_angle_gamma 90.00
loop_
_atom_site_label
_atom_site_fract_x
_atom_site_fract_y
_atom_site_fract_z
Li1 0.000 0.000 0.000
Be1 0.250 0.250 0.750
Te1 0.250 0.250 0.250
Ir1 0.000 0.000 0.500
# E above lowest polymorph (eV per atom): 0.000
# Raw total energy (eV per cell): -71.8

---

(2)
# LiBeTeIr | OQMD | GGA-PBE | relaxed
data_LiBeTeIr
_chemical_formula_sum 'Li4 Be4 Te4 Ir4'
_space_group_name_H-M_alt 'F -4 3 m'
_space_group_IT_number 216
_space_group_name_Hall 'F -4 2 3'
_cell_length_a 6.128
_cell_length_b 6.128
_cell_length_c 6.128
_cell_angle_alpha 90.00
_cell_angle_beta 90.00
_cell_angle_gamma 90.00
loop_
_atom_site_label
_atom_site_fract_x
_atom_site_fract_y
_atom_site_fract_z
Li1 0.000 0.000 0.000
Be1 0.000 0.000 0.500
Te1 0.250 0.250 0.250
Ir1 0.250 0.250 0.750
# E above lowest polymorph (eV per atom): 0.213
# Raw total energy (eV per cell): -68.4

---

(3)
# LuBeIr | OQMD | GGA-PBE | relaxed
data_LuBeIr
_chemical_formula_sum 'Lu4 Be4 Ir4'
_space_group_name_H-M_alt 'F -4 3 m'
_space_group_IT_number 216
_space_group_name_Hall 'F -4 2 3'
_cell_length_a 6.230
_cell_length_b 6.230
_cell_length_c 6.230
_cell_angle_alpha 90.00
_cell_angle_beta 90.00
_cell_angle_gamma 90.00
loop_
_atom_site_label
_atom_site_fract_x
_atom_site_fract_y
_atom_site_fract_z
Lu1 0.000 0.000 0.000
Be1 0.250 0.250 0.750
Ir1 0.250 0.250 0.250
# E above lowest polymorph (eV per atom): 0.681
# Raw total energy (eV per cell): -63.5